DFT (GGA-PBE) results for NaNiBr3 after structural relaxation.

Computed properties:
The space group is Pm-3m (221). As for the energy above the lowest structure with this stoichiometry: 0.0 kJ/mol of formula units. The uncorrected formation energy is -0.657 eV/atom. Its volume is 125.6 Å³/f.u. For the total magnetic moment, the calculation gives 0.00 μB/f.u. For the final energy, the calculation gives -15.40 eV per formula unit.

Cell lengths 5.008, 5.008, 5.008 Å; angles 90.00, 90.00, 90.00 degrees
Sites, in units of the cell vectors:
Na1 0.000 0.000 0.000
Ni1 0.500 0.500 0.500
Br1 0.000 0.500 0.500
Br2 0.500 0.000 0.500
Br3 0.500 0.500 0.000